Below is a relaxed structure of MnVCdPb2, with properties calculated at the PBE level.

Cell: 5.0911 5.0911 5.0481 Å, 90.00 90.00 90.00°
Space group P4/mmm (No. 123)
Asymmetric unit:
Mn  0.0000  0.0000  0.0000 x1
V  0.5000  0.5000  0.5000 x1
Cd  0.0000  0.0000  0.5000 x1
Pb  0.0000  0.5000  0.0000 x2

Results
* total energy: -4.231 eV per atom
* total magnetization: 2.50 μB per formula unit

Below is a relaxed structure of Ti3BiB, with properties calculated at the PBE level.

Cell: 6.1213 6.1213 5.0701 Å, 90.00 90.00 120.00°
Space group P6_3/mmc (No. 194)
Asymmetric unit:
Ti  0.1672  0.3344  0.2500 x6
Bi  0.3333  0.6667  0.7500 x2
B  0.0000  0.0000  0.0000 x2

Results
* total energy: -7.202 eV per atom
* total magnetization: 0.00 μB per formula unit
* energy above the lowest structure with this stoichiometry: 0 meV per atom

Below is a relaxed structure of La6CdRu2Br3, with properties calculated at the PBE level.

Cell: 20.2924 4.1896 9.5044 Å, 90.00 108.22 90.00°
Space group C2/m (No. 12)
Asymmetric unit:
La  0.0306  0.0000  0.2682 x4
La  0.1660  0.5000  0.1351 x4
La  0.1828  0.5000  0.5647 x4
Cd  0.0000  0.5000  0.0000 x2
Ru  0.1672  0.0000  0.3414 x4
Br  0.0000  0.5000  0.5000 x2
Br  0.1681  0.0000  0.8387 x4

Results
* total energy: -5.376 eV per atom
* total magnetization: 0.00 μB per formula unit

Below is a relaxed structure of SrReP4, with properties calculated at the PBE level.

Cell: 7.5100 7.5100 7.5100 Å, 90.00 90.00 90.00°
Space group F-43m (No. 216)
Asymmetric unit:
Sr  0.0000  0.0000  0.0000 x4
Re  0.2500  0.2500  0.2500 x4
P  0.1148  0.1148  0.6148 x16

Results
* total energy: -5.243 eV per atom
* total magnetization: 2.28 μB per formula unit